1.
Below is PmTcC after structural relaxation, with properties calculated at the GGA-PBE level.

total moment = 0.000 μB/atom
ΔH_f (0 K) = -0.066 eV/atom
ΔE to the lowest computed polymorph = 0.000 eV per formula unit

a = 5.7272 Å, b = 3.6407 Å, c = 5.2801 Å
α = 90.00°, β = 90.00°, γ = 90.00°
With the nearest neighbours (Å) after each atom.
Element x y z (fractional)
Pm 0.2500 0.0000 0.2492  4 C 2.66
Pm 0.7500 0.0000 0.7508  4 C 2.66
Tc 0.2500 0.5000 0.7599  2 C 1.91
Tc 0.7500 0.5000 0.2401  2 C 1.91
C 0.0000 0.5000 0.0000  2 Tc 1.91
C 0.5000 0.5000 0.0000  2 Tc 1.91

2.
Below is Pm3TcC4 after structural relaxation, with properties calculated at the GGA-PBE level.

total moment = 0.000 μB/atom
ΔH_f (0 K) = -0.109 eV/atom

a = 3.8546 Å, b = 4.6558 Å, c = 13.7061 Å
α = 90.00°, β = 90.00°, γ = 90.00°
With the nearest neighbours (Å) after each atom.
Element x y z (fractional)
Pm 0.0000 0.0000 0.0000  8 C 2.65
Pm 0.0000 0.5000 0.1843  6 C 2.66-2.74
Pm 0.0000 0.5000 0.8157  6 C 2.66-2.74
Pm 0.5000 0.0000 0.3157  6 C 2.66-2.74
Pm 0.5000 0.0000 0.6843  6 C 2.66-2.74
Pm 0.5000 0.5000 0.5000  8 C 2.65
Tc 0.0000 0.0000 0.5000  4 C 2.34
Tc 0.5000 0.5000 0.0000  4 C 2.34
C 0.0000 0.3494 0.3776  1 C 1.40
C 0.0000 0.3494 0.6224  1 C 1.40
C 0.0000 0.6506 0.3776  1 C 1.40
C 0.0000 0.6506 0.6224  1 C 1.40
C 0.5000 0.1506 0.1224  1 C 1.40
C 0.5000 0.1506 0.8776  1 C 1.40
C 0.5000 0.8494 0.1224  1 C 1.40
C 0.5000 0.8494 0.8776  1 C 1.40

Let's list energy in order: -8.179, -7.799 eV per atom.
Let's list DOS at the Fermi energy in order: 1.08, 3.52 states/eV/f.u..